<P>
Below is a relaxed SrTeRhN2 crystal, with properties calculated at the PBE level.

Structure (POSCAR):
```
SrTeRhN2
1.0
-3.403 -1.575 1.998
-1.371 -1.675 -3.656
2.796 -4.661 1.088
Sr Te Rh N
1 1 1 2
Direct
0.500 0.500 0.500
0.000 0.000 0.500
0.000 0.000 0.000
0.000 0.500 0.000
0.500 0.000 0.000
```

Calculated volume = 100.06 Å³/cell
Theoretical density = 5.744 Mg/m³
N(E_F) = 0.75 states/eV per atom

***

<Q>
Below is a relaxed SrTeRhN2 crystal, with properties calculated at the PBE level.

Structure (POSCAR):
```
SrTeRhN2
1.0
4.611 0.000 0.000
0.000 4.611 0.000
0.000 0.000 6.712
Sr Te Rh N
1 1 1 2
Direct
0.000 0.000 0.000
0.000 0.000 0.500
0.500 0.500 0.500
0.000 0.500 0.000
0.500 0.000 0.000
```

Calculated volume = 142.69 Å³/cell
Theoretical density = 4.028 Mg/m³
N(E_F) = 1.79 states/eV per atom

***

Sorted by energy, starting with the most stable: <P>, <Q>.

***

<P>
Below is a relaxed TaRh3N crystal, with properties calculated at the PBE level.

Structure (POSCAR):
```
TaRh3N
1.0
4.093 0.000 0.000
0.000 4.093 0.000
0.000 0.000 4.093
N Rh Ta
1 3 1
Direct
0.000 0.000 0.000
0.000 0.500 0.000
0.000 0.000 0.500
0.500 0.000 0.000
0.500 0.500 0.500
```

Calculated volume = 68.59 Å³/cell
Theoretical density = 12.194 Mg/m³
N(E_F) = 0.84 states/eV per atom

***

<Q>
Below is a relaxed TaRh3N crystal, with properties calculated at the PBE level.

Structure (POSCAR):
```
TaRh3N
1.0
4.772 0.000 0.000
0.000 4.772 0.000
0.000 0.000 4.772
N Rh Ta
1 3 1
Direct
0.500 0.500 0.500
0.000 0.500 0.000
0.000 0.000 0.500
0.500 0.000 0.000
0.000 0.000 0.000
```

Calculated volume = 108.64 Å³/cell
Theoretical density = 7.699 Mg/m³
N(E_F) = 0.87 states/eV per atom

***

Sorted by energy, starting with the most stable: <P>, <Q>.